## CaAl2As (GGA-PBE)

Data for CaAl2As after structural relaxation.

As for the crystal system: monoclinic. The value obtained for the relative energy among the computed polymorphs is 0 meV per atom. The total DFT energy (no corrections) comes out at -3.855 eV/atom. The value obtained for the energy of formation is -1.3 eV/f.u.

It has space group Cm (No. 8), with a = 8.789 Å, b = 3.813 Å, c = 5.587 Å, α = 90.00°, β = 106.92° and γ = 90.00°. The asymmetric unit holds Ca at (0.000, 0.000, 0.000), Al at (0.228, 0.000, 0.648), Al at (0.495, 0.000, 0.513) and As at (0.255, 0.500, 0.324).